# AlFeHg

A crystal of AlFeHg relaxed with PBEsol (SCAN, Alexandria).

```
data_AlFeHg
_chemical_formula_sum 'Al4 Fe4 Hg4'
_symmetry_space_group_name_H-M 'F -4 3 m'
_symmetry_Int_Tables_number 216
_symmetry_space_group_name_Hall 'F -4 2 3'
_cell_length_a 6.067
_cell_length_b 6.067
_cell_length_c 6.067
_cell_angle_alpha 90.00
_cell_angle_beta 90.00
_cell_angle_gamma 90.00
loop_
_atom_site_label
_atom_site_type_symbol
_atom_site_fract_x
_atom_site_fract_y
_atom_site_fract_z
Al1 Al 0.000 0.000 0.000
Fe1 Fe 0.000 0.000 0.500
Hg1 Hg 0.250 0.250 0.250
```

Results
As for the density of states at the Fermi level: 1.067 states/eV/atom. For the total moment, the calculation gives 12.9 μB per cell. The energy of formation is 0.33 eV/atom.

# HoAl8Fe4

A crystal of HoAl8Fe4 relaxed with PBEsol (SCAN, Alexandria).

```
data_HoAl8Fe4
_chemical_formula_sum 'Ho2 Al16 Fe8'
_symmetry_space_group_name_H-M 'I 4/m m m'
_symmetry_Int_Tables_number 139
_symmetry_space_group_name_Hall '-I 4 2'
_cell_length_a 8.594
_cell_length_b 8.594
_cell_length_c 4.966
_cell_angle_alpha 90.00
_cell_angle_beta 90.00
_cell_angle_gamma 90.00
loop_
_atom_site_label
_atom_site_type_symbol
_atom_site_fract_x
_atom_site_fract_y
_atom_site_fract_z
Ho1 Ho 0.000 0.000 0.000
Al1 Al 0.000 0.220 0.500
Al2 Al 0.000 0.339 0.000
Fe1 Fe 0.250 0.250 0.250
```

Results
As for the density of states at the Fermi level: 0.458 states/eV/atom. For the total moment, the calculation gives 13.2 μB per cell. The energy of formation is -0.47 eV/atom.

# Ho2Al3Fe

A crystal of Ho2Al3Fe relaxed with PBEsol (SCAN, Alexandria).

```
data_Ho2Al3Fe
_chemical_formula_sum 'Ho6 Al9 Fe3'
_symmetry_space_group_name_H-M 'R -3 m'
_symmetry_Int_Tables_number 166
_symmetry_space_group_name_Hall '-R 3 2"'
_cell_length_a 5.4376
_cell_length_b 5.4376
_cell_length_c 12.8465
_cell_angle_alpha 90.00
_cell_angle_beta 90.00
_cell_angle_gamma 120.00
loop_
_atom_site_label
_atom_site_type_symbol
_atom_site_fract_x
_atom_site_fract_y
_atom_site_fract_z
Ho1 Ho 0.0000 0.0000 0.1263
Al1 Al 0.0000 0.5000 0.0000
Fe1 Fe 0.0000 0.0000 0.5000
```

Results
As for the density of states at the Fermi level: 0.688 states/eV/atom. For the total moment, the calculation gives 7.6 μB per cell. The energy of formation is -0.47 eV/atom.

# HoAl6Fe6

A crystal of HoAl6Fe6 relaxed with PBEsol (SCAN, Alexandria).

```
data_HoAl6Fe6
_chemical_formula_sum 'Ho2 Al12 Fe12'
_symmetry_space_group_name_H-M 'I m m m'
_symmetry_Int_Tables_number 71
_symmetry_space_group_name_Hall '-I 2 2'
_cell_length_a 4.916
_cell_length_b 8.380
_cell_length_c 8.514
_cell_angle_alpha 90.00
_cell_angle_beta 90.00
_cell_angle_gamma 90.00
loop_
_atom_site_label
_atom_site_type_symbol
_atom_site_fract_x
_atom_site_fract_y
_atom_site_fract_z
Ho1 Ho 0.000 0.000 0.000
Al1 Al 0.000 0.000 0.346
Al2 Al 0.000 0.337 0.000
Al3 Al 0.000 0.500 0.310
Fe1 Fe 0.000 0.260 0.500
Fe2 Fe 0.250 0.250 0.250
```

Results
As for the density of states at the Fermi level: 0.415 states/eV/atom. For the total moment, the calculation gives 22.4 μB per cell. The energy of formation is -0.44 eV/atom.

# HoAl10Fe2

A crystal of HoAl10Fe2 relaxed with PBEsol (SCAN, Alexandria).

```
data_HoAl10Fe2
_chemical_formula_sum 'Ho4 Al40 Fe8'
_symmetry_space_group_name_H-M 'C m c m'
_symmetry_Int_Tables_number 63
_symmetry_space_group_name_Hall '-C 2c 2'
_cell_length_a 8.849
_cell_length_b 10.051
_cell_length_c 8.877
_cell_angle_alpha 90.00
_cell_angle_beta 90.00
_cell_angle_gamma 90.00
loop_
_atom_site_label
_atom_site_type_symbol
_atom_site_fract_x
_atom_site_fract_y
_atom_site_fract_z
Ho1 Ho 0.000 0.126 0.250
Al1 Al 0.000 0.158 0.597
Al2 Al 0.000 0.374 0.050
Al3 Al 0.152 0.371 0.750
Al4 Al 0.225 0.359 0.250
Al5 Al 0.227 0.000 0.000
Fe1 Fe 0.250 0.250 0.000
```

Results
As for the density of states at the Fermi level: 0.373 states/eV/atom. For the total moment, the calculation gives 0.0 μB per cell. The energy of formation is -0.34 eV/atom.

# HoAl7Fe5

A crystal of HoAl7Fe5 relaxed with PBEsol (SCAN, Alexandria).

```
data_HoAl7Fe5
_chemical_formula_sum 'Ho2 Al14 Fe10'
_symmetry_space_group_name_H-M 'I m m 2'
_symmetry_Int_Tables_number 44
_symmetry_space_group_name_Hall 'I 2 -2'
_cell_length_a 4.950
_cell_length_b 8.525
_cell_length_c 8.526
_cell_angle_alpha 90.00
_cell_angle_beta 90.00
_cell_angle_gamma 90.00
loop_
_atom_site_label
_atom_site_type_symbol
_atom_site_fract_x
_atom_site_fract_y
_atom_site_fract_z
Ho1 Ho 0.000 0.000 0.000
Al1 Al 0.000 0.000 0.334
Al2 Al 0.000 0.000 0.655
Al3 Al 0.000 0.292 0.499
Al4 Al 0.000 0.342 0.985
Al5 Al 0.000 0.500 0.268
Fe1 Fe 0.000 0.500 0.729
Fe2 Fe 0.247 0.250 0.243
```

Results
As for the density of states at the Fermi level: 0.415 states/eV/atom. For the total moment, the calculation gives 19.9 μB per cell. The energy of formation is -0.45 eV/atom.

# AlFeIN2

A crystal of AlFeIN2 relaxed with PBEsol (SCAN, Alexandria).

```
data_AlFeIN2
_chemical_formula_sum 'Al1 Fe1 I1 N2'
_symmetry_space_group_name_H-M 'P 4/m m m'
_symmetry_Int_Tables_number 123
_symmetry_space_group_name_Hall '-P 4 2'
_cell_length_a 3.712
_cell_length_b 3.712
_cell_length_c 5.920
_cell_angle_alpha 90.00
_cell_angle_beta 90.00
_cell_angle_gamma 90.00
loop_
_atom_site_label
_atom_site_type_symbol
_atom_site_fract_x
_atom_site_fract_y
_atom_site_fract_z
Al1 Al 0.000 0.000 0.000
Fe1 Fe 0.500 0.500 0.500
I1 I 0.000 0.000 0.500
N1 N 0.000 0.500 0.000
```

Results
As for the density of states at the Fermi level: 0.551 states/eV/atom. The raw formation energy comes out at 0.86 eV/atom. For the total moment, the calculation gives 4.5 μB per cell.

# AlFeI2N

A crystal of AlFeI2N relaxed with PBEsol (SCAN, Alexandria).

```
data_AlFeI2N
_chemical_formula_sum 'Al1 Fe1 I2 N1'
_symmetry_space_group_name_H-M 'P 4/m m m'
_symmetry_Int_Tables_number 123
_symmetry_space_group_name_Hall '-P 4 2'
_cell_length_a 5.349
_cell_length_b 5.349
_cell_length_c 3.488
_cell_angle_alpha 90.00
_cell_angle_beta 90.00
_cell_angle_gamma 90.00
loop_
_atom_site_label
_atom_site_type_symbol
_atom_site_fract_x
_atom_site_fract_y
_atom_site_fract_z
Al1 Al 0.000 0.000 0.000
Fe1 Fe 0.500 0.500 0.500
I1 I 0.000 0.500 0.500
N1 N 0.500 0.500 0.000
```

Results
As for the density of states at the Fermi level: 0.487 states/eV/atom. The raw formation energy comes out at 0.48 eV/atom. For the total moment, the calculation gives 0.0 μB per cell.

# Al2InFe

A crystal of Al2InFe relaxed with PBEsol (SCAN, Alexandria).

```
data_Al2InFe
_chemical_formula_sum 'Al2 In1 Fe1'
_symmetry_space_group_name_H-M 'P 1 2/m 1'
_symmetry_Int_Tables_number 10
_symmetry_space_group_name_Hall '-P 2y'
_cell_length_a 4.794
_cell_length_b 2.936
_cell_length_c 4.853
_cell_angle_alpha 90.00
_cell_angle_beta 111.88
_cell_angle_gamma 90.00
loop_
_atom_site_label
_atom_site_type_symbol
_atom_site_fract_x
_atom_site_fract_y
_atom_site_fract_z
Al1 Al 0.000 0.000 0.000
Al2 Al 0.500 0.500 0.000
In1 In 0.000 0.500 0.500
Fe1 Fe 0.500 0.000 0.500
```

Results
As for the density of states at the Fermi level: 0.493 states/eV/atom. For the total moment, the calculation gives 2.5 μB per cell. The energy of formation is 0.14 eV/atom.

# Al2InFe

A crystal of Al2InFe relaxed with PBEsol (SCAN, Alexandria).

```
data_Al2InFe
_chemical_formula_sum 'Al6 In3 Fe3'
_symmetry_space_group_name_H-M 'R -3 m'
_symmetry_Int_Tables_number 166
_symmetry_space_group_name_Hall '-R 3 2"'
_cell_length_a 2.9586
_cell_length_b 2.9586
_cell_length_c 25.7513
_cell_angle_alpha 90.00
_cell_angle_beta 90.00
_cell_angle_gamma 120.00
loop_
_atom_site_label
_atom_site_type_symbol
_atom_site_fract_x
_atom_site_fract_y
_atom_site_fract_z
Al1 Al 0.0000 0.0000 0.2343
In1 In 0.0000 0.0000 0.0000
Fe1 Fe 0.0000 0.0000 0.5000
```

Results
As for the density of states at the Fermi level: 0.371 states/eV/atom. For the total moment, the calculation gives 4.6 μB per cell. The energy of formation is 0.05 eV/atom.

# Al2InFe

A crystal of Al2InFe relaxed with PBEsol (SCAN, Alexandria).

```
data_Al2InFe
_chemical_formula_sum 'Al8 In4 Fe4'
_symmetry_space_group_name_H-M 'F -4 3 m'
_symmetry_Int_Tables_number 216
_symmetry_space_group_name_Hall 'F -4 2 3'
_cell_length_a 6.216
_cell_length_b 6.216
_cell_length_c 6.216
_cell_angle_alpha 90.00
_cell_angle_beta 90.00
_cell_angle_gamma 90.00
loop_
_atom_site_label
_atom_site_type_symbol
_atom_site_fract_x
_atom_site_fract_y
_atom_site_fract_z
Al1 Al 0.000 0.000 0.000
Al2 Al 0.250 0.250 0.250
In1 In 0.000 0.000 0.500
Fe1 Fe 0.250 0.250 0.750
```

Results
As for the density of states at the Fermi level: 0.702 states/eV/atom. For the total moment, the calculation gives 0.0 μB per cell. The energy of formation is 0.39 eV/atom.

# Al2InFe

A crystal of Al2InFe relaxed with PBEsol (SCAN, Alexandria).

```
data_Al2InFe
_chemical_formula_sum 'Al4 In2 Fe2'
_symmetry_space_group_name_H-M 'I m m m'
_symmetry_Int_Tables_number 71
_symmetry_space_group_name_Hall '-I 2 2'
_cell_length_a 2.689
_cell_length_b 4.462
_cell_length_c 11.328
_cell_angle_alpha 90.00
_cell_angle_beta 90.00
_cell_angle_gamma 90.00
loop_
_atom_site_label
_atom_site_type_symbol
_atom_site_fract_x
_atom_site_fract_y
_atom_site_fract_z
Al1 Al 0.000 0.000 0.188
In1 In 0.000 0.500 0.000
Fe1 Fe 0.000 0.500 0.500
```

Results
As for the density of states at the Fermi level: 0.476 states/eV/atom. For the total moment, the calculation gives 3.2 μB per cell. The energy of formation is 0.08 eV/atom.